CoNi2PO6: optimized geometry, GGA+U.

total magnetization = 7.99 μB per cell
uncorrected energy = -55.944 eV/cell
calculated volume = 116.0 Å³/f.u.
crystal system = tetragonal

Lattice parameters (Å, degrees): 5.0504 5.0504 4.5491 90.00 90.00 90.00
Atoms (fractional coordinates):
Co  0.0000  0.0000  0.0000
Ni  0.0000  0.5000  0.3695
Ni  0.5000  0.0000  0.3695
P  0.5000  0.5000  0.0519
O  0.0000  0.0000  0.6274
O  0.2720  0.2720  0.1716
O  0.2720  0.7280  0.1716
O  0.5000  0.5000  0.7173
O  0.7280  0.2720  0.1716
O  0.7280  0.7280  0.1716